This record from Alexandria via LeMat-Bulk describes a relaxed Pm6Nd12Sm crystal. The functional is PBE-GGA.

The space group is R-3m (No. 166, hexagonal axes) and the conventional cell measures 15.7972, 15.7972 and 9.7465 Å, with angles of 90.00, 90.00 and 120.00 degrees. The distinct sites, in fractional coordinates, are Pm at (0.0345, 0.5172, 0.1869), Nd at (0.0000, 0.3933, 0.5000), Nd at (0.0681, 0.1363, 0.3132) and Sm at (0.0000, 0.0000, 0.0000).

The calculation puts the density of states at the Fermi level at 88.63 states/eV per cell. For the formation enthalpy at 0 K, the calculation gives 0.398 eV per atom. The crystal system is trigonal.

This record from Alexandria via LeMat-Bulk describes a relaxed ZrTa2Fe2 crystal. The functional is PBE-GGA.

The space group is I4/mmm (No. 139) and the conventional cell measures 4.177, 4.177 and 9.782 Å, with angles of 90.00, 90.00 and 90.00 degrees. The distinct sites, in fractional coordinates, are Zr at (0.000, 0.000, 0.000), Ta at (0.000, 0.500, 0.250) and Fe at (0.000, 0.000, 0.389).

The calculation puts the density of states at the Fermi level at 7.48 states/eV per cell. For the formation enthalpy at 0 K, the calculation gives -0.037 eV per atom. The crystal system is tetragonal.

This record from Alexandria via LeMat-Bulk describes a relaxed Ac12AlHg6 crystal. The functional is PBE-GGA.

The space group is R-3 (No. 148, hexagonal axes) and the conventional cell measures 14.6873, 14.6873 and 12.9530 Å, with angles of 90.00, 90.00 and 120.00 degrees. The distinct sites, in fractional coordinates, are Ac at (0.0301, 0.8230, 0.3869), Ac at (0.0398, 0.8307, 0.8881), Al at (0.0000, 0.0000, 0.0000) and Hg at (0.0419, 0.7804, 0.6414).

The calculation puts the density of states at the Fermi level at 84.87 states/eV per cell. For the formation enthalpy at 0 K, the calculation gives -0.091 eV per atom. The crystal system is trigonal.

This record from Alexandria via LeMat-Bulk describes a relaxed Sc3MnSn crystal. The functional is PBE-GGA.

The space group is Pm-3m (No. 221) and the conventional cell measures 4.817, 4.817 and 4.817 Å, with angles of 90.00, 90.00 and 90.00 degrees. The distinct sites, in fractional coordinates, are Sc at (0.000, 0.000, 0.500), Mn at (0.000, 0.000, 0.000) and Sn at (0.500, 0.500, 0.500).

The calculation puts the density of states at the Fermi level at 2.87 states/eV per cell. For the formation enthalpy at 0 K, the calculation gives -0.007 eV per atom. The crystal system is cubic.

This record from Alexandria via LeMat-Bulk describes a relaxed LaSmHgIr crystal. The functional is PBE-GGA.

The space group is F-43m (No. 216) and the conventional cell measures 7.381, 7.381 and 7.381 Å, with angles of 90.00, 90.00 and 90.00 degrees. The distinct sites, in fractional coordinates, are La at (0.000, 0.000, 0.000), Sm at (0.000, 0.000, 0.500), Hg at (0.250, 0.250, 0.750) and Ir at (0.250, 0.250, 0.250).

The calculation puts the density of states at the Fermi level at 10.15 states/eV per cell. For the formation enthalpy at 0 K, the calculation gives -0.519 eV per atom. The crystal system is cubic.

This record from Alexandria via LeMat-Bulk describes a relaxed DyHo2Tm8 crystal. The functional is PBE-GGA.

The space group is C2/m (No. 12) and the conventional cell measures 16.675, 6.432 and 6.577 Å, with angles of 90.00, 104.55 and 90.00 degrees. The distinct sites, in fractional coordinates, are Dy at (0.000, 0.000, 0.000), Ho at (0.244, 0.500, 0.086), Tm at (0.072, 0.500, 0.212), Tm at (0.095, 0.257, 0.679) and Tm at (0.208, 0.000, 0.369).

The calculation puts the density of states at the Fermi level at 32.92 states/eV per cell. For the formation enthalpy at 0 K, the calculation gives 0.185 eV per atom. The crystal system is monoclinic.

This record from Alexandria via LeMat-Bulk describes a relaxed Er4AuC crystal. The functional is PBE-GGA.

The space group is C2/c (No. 15) and the conventional cell measures 8.151, 13.564 and 6.244 Å, with angles of 90.00, 122.53 and 90.00 degrees. The distinct sites, in fractional coordinates, are Er at (0.141, 0.201, 0.151), Er at (0.232, 0.046, 0.699), Au at (0.000, 0.377, 0.750) and C at (0.000, 0.063, 0.250).

The calculation puts the density of states at the Fermi level at 20.33 states/eV per cell. For the formation enthalpy at 0 K, the calculation gives -0.368 eV per atom. The crystal system is monoclinic.

This record from Alexandria via LeMat-Bulk describes a relaxed K5Tl4Au4 crystal. The functional is PBE-GGA.

The space group is I4/m (No. 87) and the conventional cell measures 13.335, 13.335 and 4.806 Å, with angles of 90.00, 90.00 and 90.00 degrees. The distinct sites, in fractional coordinates, are K at (0.000, 0.000, 0.000), K at (0.136, 0.793, 0.500), Tl at (0.074, 0.389, 0.500) and Au at (0.051, 0.254, 0.000).

The calculation puts the density of states at the Fermi level at 14.76 states/eV per cell. For the formation enthalpy at 0 K, the calculation gives -0.195 eV per atom. The crystal system is tetragonal.

This record from Alexandria via LeMat-Bulk describes a relaxed Y7Al2Hg2 crystal. The functional is PBE-GGA.

The space group is Cmmm (No. 65) and the conventional cell measures 7.759, 11.032 and 7.642 Å, with angles of 90.00, 90.00 and 90.00 degrees. The distinct sites, in fractional coordinates, are Y at (0.000, 0.000, 0.000), Y at (0.000, 0.500, 0.271), Y at (0.250, 0.250, 0.289), Al at (0.169, 0.000, 0.500) and Hg at (0.000, 0.292, 0.000).

The calculation puts the density of states at the Fermi level at 26.63 states/eV per cell. For the formation enthalpy at 0 K, the calculation gives -0.073 eV per atom. The crystal system is orthorhombic.

This record from Alexandria via LeMat-Bulk describes a relaxed MgTcPt2 crystal. The functional is PBE-GGA.

The space group is I4/mmm (No. 139) and the conventional cell measures 3.989, 3.989 and 7.786 Å, with angles of 90.00, 90.00 and 90.00 degrees. The distinct sites, in fractional coordinates, are Mg at (0.000, 0.000, 0.000), Tc at (0.000, 0.000, 0.500) and Pt at (0.000, 0.500, 0.250).

The calculation puts the density of states at the Fermi level at 5.32 states/eV per cell. For the formation enthalpy at 0 K, the calculation gives -0.259 eV per atom. The crystal system is tetragonal.

This record from Alexandria via LeMat-Bulk describes a relaxed Al2Rh3W crystal. The functional is PBE-GGA.

The space group is P4/mmm (No. 123) and the conventional cell measures 2.886, 2.886 and 10.083 Å, with angles of 90.00, 90.00 and 90.00 degrees. The distinct sites, in fractional coordinates, are Al at (0.000, 0.000, 0.156), Rh at (0.500, 0.500, 0.000), Rh at (0.500, 0.500, 0.314) and W at (0.000, 0.000, 0.500).

The calculation puts the density of states at the Fermi level at 3.49 states/eV per cell. For the formation enthalpy at 0 K, the calculation gives -0.757 eV per atom. The crystal system is tetragonal.

This record from Alexandria via LeMat-Bulk describes a relaxed Pm2Ag2Pd3 crystal. The functional is PBE-GGA.

The space group is C2/m (No. 12) and the conventional cell measures 9.919, 4.374 and 7.140 Å, with angles of 90.00, 108.67 and 90.00 degrees. The distinct sites, in fractional coordinates, are Pm at (0.130, 0.000, 0.280), Ag at (0.123, 0.500, 0.933), Pd at (0.000, 0.500, 0.500) and Pd at (0.159, 0.000, 0.700).

The calculation puts the density of states at the Fermi level at 7.61 states/eV per cell. For the formation enthalpy at 0 K, the calculation gives -0.577 eV per atom. The crystal system is monoclinic.

This record from Alexandria via LeMat-Bulk describes a relaxed Cs2IF6 crystal. The functional is PBE-GGA.

The space group is Fm-3m (No. 225) and the conventional cell measures 9.470, 9.470 and 9.470 Å, with angles of 90.00, 90.00 and 90.00 degrees. The distinct sites, in fractional coordinates, are Cs at (0.250, 0.250, 0.250), I at (0.000, 0.000, 0.000) and F at (0.000, 0.000, 0.227).

The calculation puts the density of states at the Fermi level at 27.90 states/eV per cell. Its energy relative to the elements, uncorrected is -187.85 kJ/mol of atoms. The crystal system is cubic.

This record from Alexandria via LeMat-Bulk describes a relaxed Li2CdSi crystal. The functional is PBE-GGA.

The space group is I4/mmm (No. 139) and the conventional cell measures 4.166, 4.166 and 7.450 Å, with angles of 90.00, 90.00 and 90.00 degrees. The distinct sites, in fractional coordinates, are Li at (0.000, 0.500, 0.250), Cd at (0.000, 0.000, 0.000) and Si at (0.000, 0.000, 0.500).

The calculation puts the density of states at the Fermi level at 1.61 states/eV per cell. Its energy relative to the elements, uncorrected is -13.74 kJ/mol of atoms. The crystal system is tetragonal.

This record from Alexandria via LeMat-Bulk describes a relaxed Tl4Bi2O9 crystal. The functional is PBE-GGA.

The space group is P-3c1 (No. 165) and the conventional cell measures 5.9366, 5.9366 and 15.4739 Å, with angles of 90.00, 90.00 and 120.00 degrees. The distinct sites, in fractional coordinates, are Tl at (0.3333, 0.6667, 0.1925), Tl at (0.3333, 0.6667, 0.4764), Bi at (0.0000, 0.0000, 0.1392), O at (0.0000, 0.2936, 0.2500) and O at (0.0378, 0.3829, 0.5836).

Its energy relative to the elements, uncorrected is -79.50 kJ/mol of atoms. The crystal system is trigonal.

This record from Alexandria via LeMat-Bulk describes a relaxed Ho2Ga3AgPt4 crystal. The functional is PBE-GGA.

The space group is P-4m2 (No. 115) and the conventional cell measures 3.996, 3.996 and 11.853 Å, with angles of 90.00, 90.00 and 90.00 degrees. The distinct sites, in fractional coordinates, are Ho at (0.000, 0.500, 0.247), Ga at (0.000, 0.000, 0.000), Ga at (0.000, 0.500, 0.630), Ag at (0.500, 0.500, 0.000), Pt at (0.000, 0.000, 0.500), Pt at (0.000, 0.500, 0.837) and Pt at (0.500, 0.500, 0.500).

The calculation puts the density of states at the Fermi level at 3.13 states/eV per cell. For the formation enthalpy at 0 K, the calculation gives -0.850 eV per atom. The crystal system is tetragonal.

no.,DFT total energy (eV per atom)
1,-4.36
2,-9.87
3,-2.98
4,-6.44
5,-5.22
6,-4.32
7,-5.49
8,-2.35
9,-4.92
10,-6.27
11,-7.84
12,-4.97
13,-3.56
14,-2.68
15,-4.95
16,-5.37